--- P ---
KNaV2O6: optimized geometry, PBE+U.

extended XYZ file:
```
20
Lattice="5.408 -5.140 0.000 5.408 5.140 0.000 -1.518 0.000 5.734" Properties=species:S:1:pos:R:3 pbc="T T T"
K 4.270 3.101 4.301
K 5.029 -3.101 1.434
Na 5.029 0.969 1.434
Na 4.270 -0.969 4.301
V 1.131 0.873 4.458
V 1.890 -0.873 1.591
V 7.410 0.873 4.143
V 8.168 -0.873 1.276
O 3.319 2.734 1.634
O 1.652 0.136 0.077
O 0.893 -0.136 2.944
O 2.759 0.899 4.875
O 6.739 2.734 1.233
O 3.518 -0.899 2.007
O 5.782 0.899 3.727
O 2.560 -2.734 4.501
O 6.540 -0.899 0.860
O 8.406 0.136 2.790
O 7.648 -0.136 5.657
O 5.980 -2.734 4.100
```

---

--- Q ---
KNaV2O6: optimized geometry, PBE+U.

extended XYZ file:
```
20
Lattice="5.464 -5.612 0.000 5.464 5.612 0.000 -1.879 0.000 5.742" Properties=species:S:1:pos:R:3 pbc="T T T"
K 4.055 4.443 4.306
K 4.994 -4.443 1.435
Na 4.994 2.770 1.435
Na 4.055 -2.770 4.306
V 1.806 0.897 4.568
V 2.745 -0.897 1.697
V 6.304 0.897 4.045
V 7.243 -0.897 1.174
O 0.212 1.118 4.057
O 2.476 2.370 4.987
O 1.152 -1.118 1.186
O 2.749 0.153 3.186
O 3.688 -0.153 0.315
O 5.634 2.370 3.626
O 3.415 -2.370 2.116
O 5.361 0.153 5.427
O 6.301 -0.153 2.556
O 7.898 1.118 4.556
O 6.573 -2.370 0.755
O 8.837 -1.118 1.685
```

---

Most stable structure - P; separation to the second - 2.4 kJ/mol of atoms.

---

--- P ---
K3NaW2O8: optimized geometry, PBE+U.

extended XYZ file:
```
28
Lattice="5.386 -3.078 0.000 5.386 3.078 0.000 -0.040 0.000 15.562" Properties=species:S:1:pos:R:3 pbc="T T T"
K 5.356 2.684 11.672
K 3.533 0.145 6.416
K 3.513 -0.145 14.197
K 7.219 0.145 1.366
K 7.199 -0.145 9.147
K 5.376 -2.684 3.891
Na 0.000 0.000 0.000
Na -0.020 0.000 7.781
W 3.646 0.153 2.142
W 3.626 -0.153 9.923
W 7.105 0.153 5.639
W 7.085 -0.153 13.420
O 4.524 1.735 1.936
O 1.990 0.279 1.394
O 1.970 -0.279 9.175
O 4.522 1.113 8.969
O 3.539 0.403 11.648
O 6.228 1.735 5.845
O 3.559 -0.403 3.867
O 6.189 1.113 14.374
O 4.542 -1.113 1.188
O 7.172 0.403 11.695
O 4.504 -1.735 9.717
O 7.192 -0.403 3.914
O 6.209 -1.113 6.593
O 8.761 0.279 6.387
O 8.741 -0.279 14.169
O 6.208 -1.735 13.626
```

---

--- Q ---
K3NaW2O8: optimized geometry, PBE+U.

extended XYZ file:
```
14
Lattice="6.180 0.000 0.000 -3.090 5.352 0.000 0.000 0.000 7.797" Properties=species:S:1:pos:R:3 pbc="T T T"
K 0.000 0.000 0.000
K 0.000 3.568 5.123
K 3.090 1.784 2.674
Na 0.000 0.000 3.898
W 0.000 3.568 1.675
W 3.090 1.784 6.122
O 0.000 1.875 2.346
O -1.467 4.415 2.346
O 0.000 3.568 7.663
O 1.624 0.937 5.451
O 1.467 4.415 2.346
O 3.090 1.784 0.134
O 4.557 0.937 5.451
O 3.090 3.478 5.451
```

---

Most stable structure - P; separation to the second - 0.6 kJ/mol of atoms.